# ZnNiO3

ZnNiO3 after structural relaxation (PBE with a Hubbard U, Alexandria).

Output
The crystal system is orthorhombic. The energy is -4.461 eV per atom. The total magnetization comes out at 0.0 μB per cell.

Cell and atoms, written as CIF:
```
data_ZnNiO3
_space_group_name_H-M_alt 'P 1'
_space_group_IT_number 1
_space_group_name_Hall 'P 1'
_cell_length_a 5.150
_cell_length_b 7.608
_cell_length_c 4.954
_cell_angle_alpha 90.00
_cell_angle_beta 90.00
_cell_angle_gamma 90.00
loop_
_atom_site_label
_atom_site_type_symbol
_atom_site_fract_x
_atom_site_fract_y
_atom_site_fract_z
_atom_site_occupancy
Zn1 Zn 0.061 0.250 0.031 1
Zn2 Zn 0.439 0.750 0.531 1
Zn3 Zn 0.561 0.250 0.469 1
Zn4 Zn 0.939 0.750 0.969 1
Ni1 Ni 0.000 0.000 0.500 1
Ni2 Ni 0.000 0.500 0.500 1
Ni3 Ni 0.500 0.000 0.000 1
Ni4 Ni 0.500 0.500 0.000 1
O1 O 0.060 0.750 0.353 1
O2 O 0.210 0.581 0.792 1
O3 O 0.210 0.919 0.792 1
O4 O 0.290 0.081 0.292 1
O5 O 0.290 0.419 0.292 1
O6 O 0.440 0.250 0.853 1
O7 O 0.560 0.750 0.147 1
O8 O 0.710 0.581 0.708 1
O9 O 0.710 0.919 0.708 1
O10 O 0.790 0.081 0.208 1
O11 O 0.790 0.419 0.208 1
O12 O 0.940 0.250 0.647 1
```

***

# ZnNi4O5

ZnNi4O5 after structural relaxation (PBE with a Hubbard U, Alexandria).

Output
The crystal system is monoclinic. The energy is -4.737 eV per atom. The total magnetization comes out at 8.0 μB per cell.

Cell and atoms, written as CIF:
```
data_ZnNi4O5
_space_group_name_H-M_alt 'P 1'
_space_group_IT_number 1
_space_group_name_Hall 'P 1'
_cell_length_a 5.200
_cell_length_b 5.200
_cell_length_c 7.356
_cell_angle_alpha 118.11
_cell_angle_beta 118.11
_cell_angle_gamma 33.55
loop_
_atom_site_label
_atom_site_type_symbol
_atom_site_fract_x
_atom_site_fract_y
_atom_site_fract_z
_atom_site_occupancy
Zn1 Zn 0.000 0.000 0.000 1
Ni1 Ni 0.200 0.200 0.799 1
Ni2 Ni 0.400 0.400 0.599 1
Ni3 Ni 0.600 0.600 0.401 1
Ni4 Ni 0.800 0.800 0.201 1
O1 O 0.000 0.000 0.500 1
O2 O 0.201 0.201 0.303 1
O3 O 0.398 0.398 0.102 1
O4 O 0.602 0.602 0.898 1
O5 O 0.799 0.799 0.697 1
```

***

# ZnNi2O5

ZnNi2O5 after structural relaxation (PBE with a Hubbard U, Alexandria).

Output
The crystal system is orthorhombic. The energy is -4.534 eV per atom. The total magnetization comes out at 8.0 μB per cell.

Cell and atoms, written as CIF:
```
data_ZnNi2O5
_space_group_name_H-M_alt 'P 1'
_space_group_IT_number 1
_space_group_name_Hall 'P 1'
_cell_length_a 3.854
_cell_length_b 10.790
_cell_length_c 5.820
_cell_angle_alpha 90.00
_cell_angle_beta 90.00
_cell_angle_gamma 90.00
loop_
_atom_site_label
_atom_site_type_symbol
_atom_site_fract_x
_atom_site_fract_y
_atom_site_fract_z
_atom_site_occupancy
Zn1 Zn 0.250 0.250 0.239 1
Zn2 Zn 0.750 0.750 0.761 1
Ni1 Ni 0.250 0.597 0.996 1
Ni2 Ni 0.250 0.903 0.996 1
Ni3 Ni 0.750 0.097 0.004 1
Ni4 Ni 0.750 0.403 0.004 1
O1 O 0.250 0.080 0.074 1
O2 O 0.250 0.420 0.074 1
O3 O 0.250 0.689 0.298 1
O4 O 0.250 0.750 0.806 1
O5 O 0.250 0.811 0.298 1
O6 O 0.750 0.189 0.702 1
O7 O 0.750 0.250 0.194 1
O8 O 0.750 0.311 0.702 1
O9 O 0.750 0.580 0.926 1
O10 O 0.750 0.920 0.926 1
```

***

# ZnNi4O5

ZnNi4O5 after structural relaxation (PBE with a Hubbard U, Alexandria).

Output
The crystal system is tetragonal. The energy is -4.736 eV per atom. The total magnetization comes out at 8.0 μB per cell.

Cell and atoms, written as CIF:
```
data_ZnNi4O5
_space_group_name_H-M_alt 'P 1'
_space_group_IT_number 1
_space_group_name_Hall 'P 1'
_cell_length_a 5.203
_cell_length_b 5.203
_cell_length_c 5.203
_cell_angle_alpha 99.57
_cell_angle_beta 99.57
_cell_angle_gamma 131.88
loop_
_atom_site_label
_atom_site_type_symbol
_atom_site_fract_x
_atom_site_fract_y
_atom_site_fract_z
_atom_site_occupancy
Zn1 Zn 0.000 0.000 0.000 1
Ni1 Ni 0.199 0.601 0.800 1
Ni2 Ni 0.399 0.199 0.599 1
Ni3 Ni 0.601 0.801 0.401 1
Ni4 Ni 0.801 0.399 0.200 1
O1 O 0.102 0.304 0.406 1
O2 O 0.304 0.898 0.202 1
O3 O 0.500 0.500 0.000 1
O4 O 0.696 0.102 0.798 1
O5 O 0.898 0.696 0.594 1
```

***

# ZnNiO2

ZnNiO2 after structural relaxation (PBE with a Hubbard U, Alexandria).

Output
The crystal system is monoclinic. The energy is -4.507 eV per atom. The total magnetization comes out at 8.0 μB per cell.

Cell and atoms, written as CIF:
```
data_ZnNiO2
_space_group_name_H-M_alt 'P 1'
_space_group_IT_number 1
_space_group_name_Hall 'P 1'
_cell_length_a 8.117
_cell_length_b 8.117
_cell_length_c 11.365
_cell_angle_alpha 133.44
_cell_angle_beta 133.44
_cell_angle_gamma 20.90
loop_
_atom_site_label
_atom_site_type_symbol
_atom_site_fract_x
_atom_site_fract_y
_atom_site_fract_z
_atom_site_occupancy
Zn1 Zn 0.078 0.078 0.396 1
Zn2 Zn 0.327 0.327 0.246 1
Zn3 Zn 0.673 0.673 0.754 1
Zn4 Zn 0.922 0.922 0.604 1
Ni1 Ni 0.177 0.177 0.271 1
Ni2 Ni 0.406 0.406 0.081 1
Ni3 Ni 0.594 0.594 0.919 1
Ni4 Ni 0.823 0.823 0.729 1
O1 O 0.095 0.095 0.775 1
O2 O 0.151 0.151 0.073 1
O3 O 0.192 0.192 0.630 1
O4 O 0.413 0.413 0.726 1
O5 O 0.587 0.587 0.274 1
O6 O 0.808 0.808 0.370 1
O7 O 0.849 0.849 0.927 1
O8 O 0.905 0.905 0.225 1
```

***

# ZnNi4O5

ZnNi4O5 after structural relaxation (PBE with a Hubbard U, Alexandria).

Output
The crystal system is trigonal. The energy is -4.737 eV per atom. The total magnetization comes out at 8.0 μB per cell.

Cell and atoms, written as CIF:
```
data_ZnNi4O5
_space_group_name_H-M_alt 'P 1'
_space_group_IT_number 1
_space_group_name_Hall 'P 1'
_cell_length_a 12.384
_cell_length_b 12.384
_cell_length_c 12.384
_cell_angle_alpha 13.92
_cell_angle_beta 13.92
_cell_angle_gamma 13.92
loop_
_atom_site_label
_atom_site_type_symbol
_atom_site_fract_x
_atom_site_fract_y
_atom_site_fract_z
_atom_site_occupancy
Zn1 Zn 0.000 0.000 0.000 1
Ni1 Ni 0.200 0.200 0.200 1
Ni2 Ni 0.401 0.401 0.401 1
Ni3 Ni 0.599 0.599 0.599 1
Ni4 Ni 0.800 0.800 0.800 1
O1 O 0.100 0.100 0.100 1
O2 O 0.299 0.299 0.299 1
O3 O 0.500 0.500 0.500 1
O4 O 0.701 0.701 0.701 1
O5 O 0.900 0.900 0.900 1
```